This record from Alexandria via LeMat-Bulk describes a relaxed structure of KW3O. The functional is GGA+U.

a = 6.743 Å, b = 6.743 Å, c = 6.743 Å
α = 90.00°, β = 90.00°, γ = 90.00°
Element x y z (fractional)
K 0.000 0.000 0.000
W 0.000 0.000 0.500
W 0.000 0.500 0.000
W 0.500 0.000 0.000
O 0.500 0.500 0.500

The space-group type is Pm-3m, No. 221. The energy above the lowest structure with this stoichiometry is 1.649 eV per atom. As for the energy: -10.8 eV/f.u. The calculation puts the density of states at the Fermi level at 20.30 states/eV/f.u.